Compound: NaFeSnF6
Source: Alexandria
Functional: PBE with a Hubbard U
Structure: relaxed

Magnetization, μB per formula unit: 3.35
Crystal system: monoclinic
Final energy, eV/atom: -4.90
SG: C2 (5)

Unit cell a=5.490 b=5.537 c=4.861 alpha=89.86 beta=89.93 gamma=59.71
Element x y z (fractional)
F 0.656 0.316 0.741
F 0.031 0.311 0.257
F 0.313 0.023 0.744
F 0.313 0.664 0.256
F 0.656 0.027 0.259
F 0.031 0.658 0.743
Sn 0.000 0.000 0.000
Na 0.667 0.666 0.500
Fe 0.331 0.334 0.500